No. 1
DFT (PBE-GGA) results for a geometry-optimized SrMgAlAg2 structure.

Properties
Volume   23.8 A^3/atom
SG   I-4m2, No. 119
Formation energy   -237 meV per atom
Crystal system   tetragonal
Total magnetic moment   0.00 Bohr magnetons per cell
VASP energy   -13.9 eV/cell

Lattice parameters (Å, degrees): 6.855 6.855 6.855 142.38 142.38 54.26
Atoms (fractional coordinates):
Sr 0.000 0.000 0.000
Mg 0.250 0.750 0.500
Al 0.750 0.250 0.500
Ag 0.383 0.383 0.000
Ag 0.617 0.617 0.000

***

No. 2
DFT (PBE-GGA) results for a geometry-optimized SrMgAlAg6 structure.

Properties
Volume   22.0 A^3/atom
SG   Imma, No. 74
Formation energy   20 meV per atom
Crystal system   orthorhombic
Total magnetic moment   0.00 Bohr magnetons per cell
VASP energy   -47.9 eV/cell

Lattice parameters (Å, degrees): 8.267 8.267 8.267 127.91 108.14 94.26
Atoms (fractional coordinates):
Sr 0.465 0.215 0.250
Sr 0.535 0.785 0.750
Mg 0.000 0.000 0.500
Mg 0.000 0.500 0.000
Al 0.000 0.000 0.000
Al 0.500 0.000 0.500
Ag 0.125 0.432 0.305
Ag 0.125 0.821 0.693
Ag 0.181 0.931 0.250
Ag 0.230 0.480 0.750
Ag 0.373 0.179 0.805
Ag 0.373 0.568 0.193
Ag 0.627 0.432 0.807
Ag 0.627 0.821 0.195
Ag 0.770 0.520 0.250
Ag 0.819 0.069 0.750
Ag 0.875 0.179 0.307
Ag 0.875 0.568 0.695

***

No. 3
DFT (PBE-GGA) results for a geometry-optimized SrMgAlAg3 structure.

Properties
Volume   23.8 A^3/atom
SG   Cmcm, No. 63
Formation energy   -82 meV per atom
Crystal system   orthorhombic
Total magnetic moment   0.00 Bohr magnetons per cell
VASP energy   -32.1 eV/cell

Lattice parameters (Å, degrees): 7.448 7.448 6.170 90.00 90.00 123.42
Atoms (fractional coordinates):
Sr 0.207 0.793 0.750
Sr 0.793 0.207 0.250
Mg 0.455 0.545 0.750
Mg 0.545 0.455 0.250
Al 0.131 0.869 0.250
Al 0.869 0.131 0.750
Ag 0.199 0.199 0.000
Ag 0.199 0.199 0.500
Ag 0.334 0.666 0.250
Ag 0.666 0.334 0.750
Ag 0.801 0.801 0.000
Ag 0.801 0.801 0.500

***

No. 4
DFT (PBE-GGA) results for a geometry-optimized SrMgAl2Ag2 structure.

Properties
Volume   22.8 A^3/atom
SG   P-3m1, No. 164
Formation energy   -233 meV per atom
Crystal system   trigonal
Total magnetic moment   0.00 Bohr magnetons per cell
VASP energy   -17.9 eV/cell

Lattice parameters (Å, degrees): 4.571 4.571 7.547 90.00 90.00 120.00
Atoms (fractional coordinates):
Sr 0.000 0.000 0.000
Mg 0.000 0.000 0.500
Al 0.333 0.667 0.696
Al 0.667 0.333 0.304
Ag 0.333 0.667 0.317
Ag 0.667 0.333 0.683

***

No. 5
DFT (PBE-GGA) results for a geometry-optimized SrMg3AlAg structure.

Properties
Volume   26.2 A^3/atom
SG   Cmcm, No. 63
Formation energy   -41 meV per atom
Crystal system   orthorhombic
Total magnetic moment   0.00 Bohr magnetons per cell
VASP energy   -26.6 eV/cell

Lattice parameters (Å, degrees): 7.775 7.775 6.396 90.00 90.00 125.49
Atoms (fractional coordinates):
Sr 0.221 0.779 0.750
Sr 0.779 0.221 0.250
Mg 0.204 0.204 0.000
Mg 0.204 0.204 0.500
Mg 0.357 0.643 0.250
Mg 0.643 0.357 0.750
Mg 0.796 0.796 0.000
Mg 0.796 0.796 0.500
Al 0.143 0.857 0.250
Al 0.857 0.143 0.750
Ag 0.443 0.557 0.750
Ag 0.557 0.443 0.250

***

No. 6
DFT (PBE-GGA) results for a geometry-optimized Sr2Mg6AlAg structure.

Properties
Volume   28.5 A^3/atom
SG   Pmmn, No. 59
Formation energy   -29 meV per atom
Crystal system   orthorhombic
Total magnetic moment   0.00 Bohr magnetons per cell
VASP energy   -39.6 eV/cell

Lattice parameters (Å, degrees): 7.946 10.090 7.120 90.00 90.00 90.00
Atoms (fractional coordinates):
Sr 0.250 0.014 0.229
Sr 0.250 0.486 0.229
Sr 0.750 0.514 0.771
Sr 0.750 0.986 0.771
Mg 0.052 0.250 0.900
Mg 0.066 0.750 0.545
Mg 0.250 0.001 0.728
Mg 0.250 0.499 0.728
Mg 0.434 0.750 0.545
Mg 0.448 0.250 0.900
Mg 0.552 0.750 0.100
Mg 0.566 0.250 0.455
Mg 0.750 0.501 0.272
Mg 0.750 0.999 0.272
Mg 0.934 0.250 0.455
Mg 0.948 0.750 0.100
Al 0.250 0.750 0.904
Al 0.750 0.250 0.096
Ag 0.250 0.250 0.576
Ag 0.750 0.750 0.424

***

> Look up the volume of the fourth one.

22.8 A^3/atom

***

> Look up the VASP energy of the third one.

-32.1 eV/cell

***

> Number 2 is which compound?

SrMgAlAg6